[1]
Here is CsMgCo2Rh after structural relaxation from Alexandria via LeMat-Bulk. Energies are from PBE.

Output
Space group: P4/mmm
Calculated density (g/cm3): 5.396
Calculated formation energy (meV/atom): 1351

a b c (Å): 4.8841 4.8759 4.8841
angles (deg): 90.00 90.00 90.00
Closest atoms and distances in Å follow each position.
Positions (direct):
1 Mg 0.0000 0.0000 0.0000  2 Rh 2.44, 4 Co 2.44
2 Rh 0.0000 0.5000 0.0000  2 Mg 2.44
3 Co 0.0000 0.0000 0.5000  2 Mg 2.44
4 Cs 0.5000 0.5000 0.5000  8 Co 3.45, 4 Rh 3.45
5 Co 0.5000 0.0000 0.0000  2 Mg 2.44



[2]
Here is CsMgCoRh2 after structural relaxation from Alexandria via LeMat-Bulk. Energies are from PBE.

Output
Space group: P4/mmm
Calculated density (g/cm3): 5.138
Calculated formation energy (meV/atom): 2210

a b c (Å): 4.9569 5.5503 4.9569
angles (deg): 90.00 90.00 90.00
Closest atoms and distances in Å follow each position.
Positions (direct):
1 Rh 0.5000 0.0000 0.0000  2 Cs 2.48
2 Rh 0.0000 0.0000 0.5000  2 Cs 2.48
3 Mg 0.0000 0.5000 0.0000  2 Cs 2.78
4 Cs 0.0000 0.0000 0.0000  4 Rh 2.48, 2 Mg 2.78
5 Co 0.5000 0.5000 0.5000  4 Mg 3.51, 8 Rh 3.72



[3]
Here is Cs2MgCoSi after structural relaxation from Alexandria via LeMat-Bulk. Energies are from PBE.

Output
Space group: P4/mmm
Calculated density (g/cm3): 2.508
Raw formation energy (kJ/mol of formula units): 546.6

a b c (Å): 7.1423 4.8943 7.1423
angles (deg): 90.00 90.00 90.00
Closest atoms and distances in Å follow each position.
Positions (direct):
1 Mg 0.0000 0.0000 0.0000  2 Co 2.45
2 Co 0.0000 0.5000 0.0000  2 Mg 2.45
3 Si 0.5000 0.5000 0.5000  8 Cs 4.33
4 Cs 0.5000 0.0000 0.0000  2 Mg 3.57
5 Cs 0.0000 0.0000 0.5000  2 Mg 3.57



[4]
Here is CsMgTiCo2 after structural relaxation from Alexandria via LeMat-Bulk. Energies are from PBE.

Output
Space group: P4/mmm
Calculated density (g/cm3): 4.431
Calculated formation energy (meV/atom): 2231

a b c (Å): 4.7122 5.4506 4.7122
angles (deg): 90.00 90.00 90.00
Closest atoms and distances in Å follow each position.
Positions (direct):
1 Co 0.5000 0.0000 0.0000  2 Cs 2.36
2 Cs 0.0000 0.0000 0.0000  4 Co 2.36
3 Co 0.0000 0.0000 0.5000  2 Cs 2.36
4 Mg 0.0000 0.5000 0.0000  2 Cs 2.73
5 Ti 0.5000 0.5000 0.5000  4 Mg 3.33, 8 Co 3.60



[5]
Here is CsMgCoW2 after structural relaxation from Alexandria via LeMat-Bulk. Energies are from PBE.

Output
Space group: P4/mmm
Calculated density (g/cm3): 8.439
Calculated formation energy (meV/atom): 1570

a b c (Å): 4.6992 5.2023 4.6992
angles (deg): 90.00 90.00 90.00
Closest atoms and distances in Å follow each position.
Positions (direct):
1 W 0.5000 0.0000 0.0000  2 Co 2.35
2 Cs 0.5000 0.5000 0.5000  4 Mg 3.32, 8 W 3.51
3 Co 0.0000 0.0000 0.0000  4 W 2.35, 2 Mg 2.60
4 W 0.0000 0.0000 0.5000  2 Co 2.35
5 Mg 0.0000 0.5000 0.0000  2 Co 2.60



[6]
Here is CsMgZn2Co after structural relaxation from Alexandria via LeMat-Bulk. Energies are from PBE.

Output
Space group: P4/mmm
Calculated density (g/cm3): 1.662
Calculated formation energy (meV/atom): 1414

a b c (Å): 7.2701 6.5585 7.2701
angles (deg): 90.00 90.00 90.00
Closest atoms and distances in Å follow each position.
Positions (direct):
1 Zn 0.0000 0.0000 0.5000  2 Cs 3.64
2 Zn 0.5000 0.0000 0.0000  2 Cs 3.64
3 Cs 0.0000 0.0000 0.0000  2 Co 3.28, 4 Zn 3.64
4 Co 0.0000 0.5000 0.0000  2 Cs 3.28
5 Mg 0.5000 0.5000 0.5000  8 Zn 4.90, 4 Co 5.14



[7]
Here is CsMn3Co after structural relaxation from Alexandria via LeMat-Bulk. Energies are from PBE.

Output
Space group: Pm-3m
Calculated density (g/cm3): 5.150
Calculated formation energy (meV/atom): 1012

a b c (Å): 4.8630 4.8630 4.8630
angles (deg): 90.00 90.00 90.00
Closest atoms and distances in Å follow each position.
Positions (direct):
1 Mn 0.0000 0.0000 0.5000  2 Co 2.43
2 Cs 0.5000 0.5000 0.5000  12 Mn 3.44
3 Co 0.0000 0.0000 0.0000  6 Mn 2.43
4 Mn 0.0000 0.5000 0.0000  2 Co 2.43
5 Mn 0.5000 0.0000 0.0000  2 Co 2.43



[8]
Here is CsNaMn2Co after structural relaxation from Alexandria via LeMat-Bulk. Energies are from PBE.

Output
Space group: P4/mmm
Calculated density (g/cm3): 4.295
Calculated formation energy (meV/atom): 1795

a b c (Å): 5.0389 4.9437 5.0389
angles (deg): 90.00 90.00 90.00
Closest atoms and distances in Å follow each position.
Positions (direct):
1 Mn 0.0000 0.0000 0.5000  2 Na 2.52
2 Cs 0.5000 0.5000 0.5000  8 Mn 3.53, 4 Co 3.56
3 Na 0.0000 0.0000 0.0000  2 Co 2.47, 4 Mn 2.52
4 Mn 0.5000 0.0000 0.0000  2 Na 2.52
5 Co 0.0000 0.5000 0.0000  2 Na 2.47



For reference, raw total energy by record: -3.452; -2.641; -2.033; -2.680; -5.522; -1.006; -6.081; -3.728 eV/atom.